P.
The following is a DFT calculation (PBE) of crystalline Be2CrGaB at its relaxed geometry.

crystal system = tetragonal
space group = No. 123

Geometry as POSCAR:
```
Be2CrGaB
1.0
3.561 0.000 0.000
0.000 3.561 0.000
0.000 0.000 4.465
Be Cr Ga B
2 1 1 1
direct
0.000 0.500 0.000
0.500 0.000 0.000
0.000 0.000 0.500
0.500 0.500 0.500
0.500 0.500 0.000
```

Q.
The following is a DFT calculation (PBE) of crystalline Be2CrGaB at its relaxed geometry.

crystal system = tetragonal
space group = No. 123

Geometry as POSCAR:
```
Be2CrGaB
1.0
4.142 0.000 0.000
0.000 4.142 0.000
0.000 0.000 3.882
Be Cr Ga B
2 1 1 1
direct
0.000 0.500 0.000
0.500 0.000 0.000
0.000 0.000 0.000
0.500 0.500 0.500
0.000 0.000 0.500
```

Most stable structure, least stable structure: P, Q.

P.
The following is a DFT calculation (PBE) of crystalline CsBeB3 at its relaxed geometry.

crystal system = cubic
space group = No. 221

Geometry as POSCAR:
```
CsBeB3
1.0
4.233 0.000 0.000
0.000 4.233 0.000
0.000 0.000 4.233
Cs Be B
1 1 3
direct
0.000 0.000 0.000
0.500 0.500 0.500
0.000 0.500 0.500
0.500 0.000 0.500
0.500 0.500 0.000
```

Q.
The following is a DFT calculation (PBE) of crystalline CsBeB3 at its relaxed geometry.

crystal system = cubic
space group = No. 221

Geometry as POSCAR:
```
CsBeB3
1.0
4.934 0.000 0.000
0.000 4.934 0.000
0.000 0.000 4.934
Cs Be B
1 1 3
direct
0.000 0.000 0.000
0.500 0.500 0.500
0.000 0.000 0.500
0.000 0.500 0.000
0.500 0.000 0.000
```

Most stable structure, least stable structure: P, Q.

P.
The following is a DFT calculation (PBE) of crystalline BeCuB3 at its relaxed geometry.

crystal system = cubic
space group = No. 221

Geometry as POSCAR:
```
BeCuB3
1.0
3.598 0.000 0.000
0.000 3.598 0.000
0.000 0.000 3.598
Be Cu B
1 1 3
direct
0.000 0.000 0.000
0.500 0.500 0.500
0.000 0.000 0.500
0.000 0.500 0.000
0.500 0.000 0.000
```

Q.
The following is a DFT calculation (PBE) of crystalline BeCuB3 at its relaxed geometry.

crystal system = cubic
space group = No. 221

Geometry as POSCAR:
```
BeCuB3
1.0
3.811 0.000 0.000
0.000 3.811 0.000
0.000 0.000 3.811
Be Cu B
1 1 3
direct
0.000 0.000 0.000
0.500 0.500 0.500
0.000 0.500 0.500
0.500 0.000 0.500
0.500 0.500 0.000
```

Most stable structure, least stable structure: P, Q.

P.
The following is a DFT calculation (PBE) of crystalline BeCu2B at its relaxed geometry.

crystal system = tetragonal
space group = No. 123

Geometry as POSCAR:
```
BeCu2B
1.0
3.605 0.000 0.000
0.000 3.605 0.000
0.000 0.000 2.807
Be Cu B
1 2 1
direct
0.000 0.000 0.000
0.000 0.500 0.500
0.500 0.000 0.500
0.500 0.500 0.000
```

Q.
The following is a DFT calculation (PBE) of crystalline BeCu2B at its relaxed geometry.

crystal system = tetragonal
space group = No. 122

Geometry as POSCAR:
```
BeCu2B
1.0
-3.492 3.492 1.893
3.492 -3.492 1.893
3.492 3.492 -1.893
Be Cu B
2 4 2
direct
0.000 0.000 0.000
0.750 0.250 0.500
0.250 0.625 0.125
0.375 0.500 0.625
0.500 0.125 0.875
0.875 0.750 0.375
0.250 0.750 0.500
0.500 0.500 0.000
```

R.
The following is a DFT calculation (PBE) of crystalline BeCu2B at its relaxed geometry.

crystal system = cubic
space group = No. 225

Geometry as POSCAR:
```
BeCu2B
1.0
0.000 2.630 2.630
2.630 0.000 2.630
2.630 2.630 0.000
Be Cu B
1 2 1
direct
0.000 0.000 0.000
0.250 0.250 0.250
0.750 0.750 0.750
0.500 0.500 0.500
```

Most stable structure, least stable structure: R, Q.